DFT (PBE-GGA) results for an optimized crystal structure of ReSbPb2.

Properties
The calculated total energy is -20.33 eV/cell. As for the density of states at the Fermi level: 4.8 states/eV/cell. The uncorrected formation energy comes out at 0.914 eV/atom.

Unit cell a=5.105 b=5.105 c=5.105 alpha=120.11 beta=120.11 gamma=89.82
Last column: magnetic moment on the atom in μB.
Positions (direct):
Re (0.500, 0.500, 0.000)  0.29
Pb (0.000, 0.000, 0.000)  -0.01
Pb (0.250, 0.750, 0.500)  0.00
Sb (0.750, 0.250, 0.500)  0.00

***

DFT (PBE-GGA) results for an optimized crystal structure of ReSbPb2.

Properties
The calculated total energy is -20.39 eV/cell. As for the density of states at the Fermi level: 3.0 states/eV/cell. The uncorrected formation energy comes out at 0.898 eV/atom.

Unit cell a=5.368 b=3.611 c=6.171 alpha=59.95 beta=90.00 gamma=90.00
Last column: magnetic moment on the atom in μB.
Positions (direct):
Pb (0.000, 0.307, 0.484)  0.00
Pb (0.000, 0.193, 0.016)  0.00
Re (0.500, 0.250, 0.250)  0.83
Sb (0.500, 0.750, 0.750)  -0.02

***

DFT (PBE-GGA) results for an optimized crystal structure of SrReSb2Pb.

Properties
The calculated total energy is -20.70 eV/cell. As for the density of states at the Fermi level: 5.3 states/eV/cell. The uncorrected formation energy comes out at 1.077 eV/atom.

Unit cell a=5.856 b=5.192 c=5.856 alpha=90.00 beta=90.00 gamma=90.00
Last column: magnetic moment on the atom in μB.
Positions (direct):
Sr (0.500, 0.500, 0.500)  0.00
Sb (0.500, 0.000, 0.000)  -0.03
Sb (0.000, 0.000, 0.500)  -0.04
Pb (0.000, 0.000, 0.000)  -0.06
Re (0.000, 0.500, 0.000)  2.32

***

DFT (PBE-GGA) results for an optimized crystal structure of ReSb2TePb.

Properties
The calculated total energy is -24.72 eV/cell. As for the density of states at the Fermi level: 6.7 states/eV/cell. The energy above the most stable polymorph in this dataset is 0 meV/atom. The uncorrected formation energy comes out at 0.565 eV/atom.

Unit cell a=5.061 b=5.061 c=6.012 alpha=90.00 beta=90.00 gamma=90.00
Positions (direct):
Sb (0.500, 0.000, 0.000)
Sb (0.000, 0.500, 0.000)
Pb (0.500, 0.500, 0.500)
Te (0.000, 0.000, 0.500)
Re (0.000, 0.000, 0.000)

***

DFT (PBE-GGA) results for an optimized crystal structure of TlRe2SbPb.

Properties
The calculated total energy is -25.48 eV/cell. As for the density of states at the Fermi level: 4.2 states/eV/cell. The uncorrected formation energy comes out at 1.923 eV/atom.

Unit cell a=5.019 b=5.856 c=5.019 alpha=90.00 beta=90.00 gamma=90.00
Last column: magnetic moment on the atom in μB.
Positions (direct):
Tl (0.500, 0.500, 0.500)  0.00
Pb (0.000, 0.500, 0.000)  -0.06
Re (0.500, 0.000, 0.000)  1.65
Re (0.000, 0.000, 0.500)  1.66
Sb (0.000, 0.000, 0.000)  -0.05

***

DFT (PBE-GGA) results for an optimized crystal structure of Zn2ReSbPb.

Properties
The calculated total energy is -16.80 eV/cell. As for the density of states at the Fermi level: 4.4 states/eV/cell. The uncorrected formation energy comes out at 1.206 eV/atom.

Unit cell a=5.132 b=5.081 c=5.132 alpha=90.00 beta=90.00 gamma=90.00
Last column: magnetic moment on the atom in μB.
Positions (direct):
Pb (0.500, 0.500, 0.500)  -0.06
Zn (0.000, 0.000, 0.500)  -0.01
Zn (0.500, 0.000, 0.000)  -0.01
Re (0.000, 0.500, 0.000)  1.57
Sb (0.000, 0.000, 0.000)  -0.04

***

DFT (PBE-GGA) results for an optimized crystal structure of ScRe2Pb.

Properties
The calculated total energy is -32.81 eV/cell. As for the density of states at the Fermi level: 5.9 states/eV/cell. As for the formation energy: 530 meV per atom.

Unit cell a=4.670 b=4.670 c=4.670 alpha=60.00 beta=60.00 gamma=60.00
Last column: magnetic moment on the atom in μB.
Positions (direct):
Re (0.750, 0.750, 0.750)  0.11
Re (0.000, 0.000, 0.000)  0.46
Sc (0.250, 0.250, 0.250)  0.04
Pb (0.500, 0.500, 0.500)  0.02

***

DFT (PBE-GGA) results for an optimized crystal structure of ScRe2Pb.

Properties
The calculated total energy is -32.63 eV/cell. As for the density of states at the Fermi level: 2.7 states/eV/cell. As for the formation energy: 577 meV per atom.

Unit cell a=3.537 b=3.537 c=6.016 alpha=90.00 beta=90.00 gamma=90.00
Positions (direct):
Sc (0.500, 0.500, 0.250)
Re (0.000, 0.000, 0.040)
Re (0.000, 0.000, 0.460)
Pb (0.500, 0.500, 0.750)

***

DFT (PBE-GGA) results for an optimized crystal structure of Sc2RePb.

Properties
The calculated total energy is -28.96 eV/cell. As for the density of states at the Fermi level: 3.3 states/eV/cell. As for the formation energy: -35 meV per atom.

Unit cell a=9.484 b=9.484 c=9.484 alpha=19.91 beta=19.91 gamma=19.91
Positions (direct):
Re (0.750, 0.750, 0.750)
Sc (0.487, 0.487, 0.487)
Sc (0.013, 0.013, 0.013)
Pb (0.250, 0.250, 0.250)

***

DFT (PBE-GGA) results for an optimized crystal structure of ScRe2Pb.

Properties
The calculated total energy is -34.66 eV/cell. As for the density of states at the Fermi level: 1.3 states/eV/cell. As for the formation energy: 70 meV per atom.

Unit cell a=3.086 b=3.086 c=8.230 alpha=90.00 beta=90.00 gamma=90.00
Positions (direct):
Pb (0.500, 0.500, 0.780)
Re (0.500, 0.500, 0.223)
Re (0.000, 0.000, 0.047)
Sc (0.000, 0.000, 0.450)

***

DFT (PBE-GGA) results for an optimized crystal structure of ScRePb2.

Properties
The calculated total energy is -24.33 eV/cell. As for the density of states at the Fermi level: 2.6 states/eV/cell. The energy above the most stable polymorph in this dataset is 206 meV/atom. As for the formation energy: 468 meV per atom.

Unit cell a=3.609 b=5.188 c=4.637 alpha=90.00 beta=90.00 gamma=90.00
Positions (direct):
Sc (0.000, 0.500, 0.500)
Pb (0.000, 0.000, 0.000)
Pb (0.500, 0.500, 0.000)
Re (0.500, 0.000, 0.500)

***

DFT (PBE-GGA) results for an optimized crystal structure of ScRePb2.

Properties
The calculated total energy is -24.36 eV/cell. As for the density of states at the Fermi level: 4.1 states/eV/cell. The energy above the most stable polymorph in this dataset is 198 meV/atom. As for the formation energy: 459 meV per atom.

Unit cell a=3.450 b=3.450 c=7.248 alpha=90.00 beta=90.00 gamma=90.00
Last column: magnetic moment on the atom in μB.
Positions (direct):
Re (0.500, 0.500, 0.250)  0.03
Pb (0.000, 0.000, 0.025)  0.00
Pb (0.000, 0.000, 0.475)  0.00
Sc (0.500, 0.500, 0.750)  0.30

***

What is the calculated total energy in the first record?
-20.33 eV/cell

***

Which value of calculated total energy does entry 9 give?
-28.96 eV/cell

***

Which formula does entry 9 have?
Sc2RePb

***

What is the density of states at the Fermi level in the fifth record?
4.2 states/eV/cell